# 1
First-principles (PBE) data for a relaxed LaTa3 crystal, as listed in Alexandria.

The structure belongs to space group Pmm2 (No. 25); the cell edges are 2.909, 4.889 and 6.244 Å and the angles 90.00°, 90.00° and 90.00°. The asymmetric unit holds La at (0.000, 0.000, 0.000), Ta at (0.000, 0.500, 0.316), Ta at (0.500, 0.000, 0.489) and Ta at (0.500, 0.500, 0.715).

The value obtained for the density of states at the Fermi level is 4.321 states/eV/f.u. The value obtained for the electronic total energy is -9.587 eV per atom. The formation energy from the elements is 0.534 eV per atom.

***

# 2
First-principles (PBE) data for a relaxed LaTa2 crystal, as listed in Alexandria.

The structure belongs to space group P-62m (No. 189); the cell edges are 5.6746, 5.6746 and 5.0510 Å and the angles 90.00°, 90.00° and 120.00°. The asymmetric unit holds La at (0.3333, 0.6667, 0.0000), Ta at (0.0000, 0.0000, 0.0000) and Ta at (0.0000, 0.2782, 0.5000).

The value obtained for the density of states at the Fermi level is 3.854 states/eV/f.u. The value obtained for the electronic total energy is -8.971 eV per atom. The formation energy from the elements is 0.573 eV per atom.

***

# 3
First-principles (PBE) data for a relaxed La2Ta3 crystal, as listed in Alexandria.

The structure belongs to space group P-3m1 (No. 164); the cell edges are 4.8633, 4.8633 and 6.1494 Å and the angles 90.00°, 90.00° and 120.00°. The asymmetric unit holds La at (0.3333, 0.6667, 0.3354), Ta at (0.0000, 0.0000, 0.5000) and Ta at (0.3333, 0.6667, 0.8987).

The value obtained for the density of states at the Fermi level is 5.185 states/eV/f.u. The value obtained for the electronic total energy is -7.699 eV per atom. The formation energy from the elements is 1.384 eV per atom.

***

# 4
First-principles (PBE) data for a relaxed LaTa2 crystal, as listed in Alexandria.

The structure belongs to space group Pnma (No. 62); the cell edges are 6.345, 4.813 and 9.317 Å and the angles 90.00°, 90.00° and 90.00°. The asymmetric unit holds La at (0.139, 0.250, 0.093), Ta at (0.007, 0.250, 0.715) and Ta at (0.114, 0.250, 0.436).

The value obtained for the density of states at the Fermi level is 3.895 states/eV/f.u. The value obtained for the electronic total energy is -8.982 eV per atom. The formation energy from the elements is 0.562 eV per atom.

***

# 5
First-principles (PBE) data for a relaxed La4Ta3 crystal, as listed in Alexandria.

The structure belongs to space group P6/mmm (No. 191); the cell edges are 5.7189, 5.7189 and 6.4911 Å and the angles 90.00°, 90.00° and 120.00°. The asymmetric unit holds La at (0.0000, 0.0000, 0.2392), La at (0.3333, 0.6667, 0.0000) and Ta at (0.0000, 0.5000, 0.5000).

The value obtained for the density of states at the Fermi level is 9.599 states/eV/f.u. The value obtained for the electronic total energy is -7.492 eV per atom. The formation energy from the elements is 0.404 eV per atom.

***

# 6
First-principles (PBE) data for a relaxed La5Ta3 crystal, as listed in Alexandria.

The structure belongs to space group Cmmm (No. 65); the cell edges are 9.256, 10.336 and 4.632 Å and the angles 90.00°, 90.00° and 90.00°. The asymmetric unit holds La at (0.000, 0.000, 0.000), La at (0.000, 0.244, 0.500), La at (0.250, 0.250, 0.000), Ta at (0.000, 0.500, 0.000) and Ta at (0.177, 0.500, 0.500).

The value obtained for the density of states at the Fermi level is 8.323 states/eV/f.u. The value obtained for the electronic total energy is -7.082 eV per atom. The formation energy from the elements is 0.443 eV per atom.

***

# 7
First-principles (PBE) data for a relaxed LaTa3 crystal, as listed in Alexandria.

The structure belongs to space group Cmmm (No. 65); the cell edges are 5.739, 10.217 and 2.857 Å and the angles 90.00°, 90.00° and 90.00°. The asymmetric unit holds La at (0.000, 0.000, 0.000), Ta at (0.000, 0.500, 0.000) and Ta at (0.250, 0.250, 0.500).

The value obtained for the density of states at the Fermi level is 5.144 states/eV/f.u. The value obtained for the electronic total energy is -9.511 eV per atom. The formation energy from the elements is 0.610 eV per atom.

***

# 8
First-principles (PBE) data for a relaxed La4Ta3 crystal, as listed in Alexandria.

The structure belongs to space group I4/mmm (No. 139); the cell edges are 3.478, 3.478 and 32.434 Å and the angles 90.00°, 90.00° and 90.00°. The asymmetric unit holds La at (0.000, 0.000, 0.066), La at (0.000, 0.000, 0.337), Ta at (0.000, 0.000, 0.230) and Ta at (0.000, 0.000, 0.500).

The value obtained for the density of states at the Fermi level is 10.971 states/eV/f.u. The value obtained for the electronic total energy is -7.543 eV per atom. The formation energy from the elements is 0.353 eV per atom.

***

# 9
First-principles (PBE) data for a relaxed LaTa3 crystal, as listed in Alexandria.

The structure belongs to space group Pm-3m (No. 221); the cell edges are 4.419, 4.419 and 4.419 Å and the angles 90.00°, 90.00° and 90.00°. The asymmetric unit holds La at (0.000, 0.000, 0.000) and Ta at (0.000, 0.500, 0.500).

The value obtained for the density of states at the Fermi level is 7.246 states/eV/f.u. The value obtained for the electronic total energy is -9.336 eV per atom. The formation energy from the elements is 0.785 eV per atom.

***

# 10
First-principles (PBE) data for a relaxed LaTa3 crystal, as listed in Alexandria.

The structure belongs to space group P6_3/mmc (No. 194); the cell edges are 6.4429, 6.4429 and 9.9793 Å and the angles 90.00°, 90.00° and 120.00°. The asymmetric unit holds La at (0.0000, 0.0000, 0.0000), La at (0.3333, 0.6667, 0.2500), Ta at (0.0000, 0.5000, 0.0000) and Ta at (0.1929, 0.3857, 0.7500).

The value obtained for the density of states at the Fermi level is 4.790 states/eV/f.u. The value obtained for the electronic total energy is -9.479 eV per atom. The formation energy from the elements is 0.642 eV per atom.

***

# 11
First-principles (PBE) data for a relaxed LaTa3 crystal, as listed in Alexandria.

The structure belongs to space group Pm-3n (No. 223); the cell edges are 5.514, 5.514 and 5.514 Å and the angles 90.00°, 90.00° and 90.00°. The asymmetric unit holds La at (0.000, 0.000, 0.000) and Ta at (0.000, 0.250, 0.500).

The value obtained for the density of states at the Fermi level is 5.005 states/eV/f.u. The value obtained for the electronic total energy is -9.444 eV per atom. The formation energy from the elements is 0.677 eV per atom.

***

# 12
First-principles (PBE) data for a relaxed LaTa3 crystal, as listed in Alexandria.

The structure belongs to space group P2/m (No. 10); the cell edges are 2.972, 4.673 and 6.425 Å and the angles 90.00°, 102.03° and 90.00°. The asymmetric unit holds La at (0.000, 0.000, 0.000), Ta at (0.000, 0.000, 0.500) and Ta at (0.418, 0.500, 0.700).

The value obtained for the density of states at the Fermi level is 4.826 states/eV/f.u. The value obtained for the electronic total energy is -9.697 eV per atom. The formation energy from the elements is 0.424 eV per atom.